# SrBi2O5

A relaxed SrBi2O5 crystal (GGA-PBE, the Alexandria database).

Lattice parameters (Å, degrees): 7.325 7.325 7.325 127.44 127.44 77.53
Element x y z (fractional)
Sr: 0.250 0.250 0.000
Sr: 0.750 0.750 0.000
Bi: 0.172 0.672 0.844
Bi: 0.328 0.172 0.500
Bi: 0.672 0.828 0.500
Bi: 0.828 0.328 0.156
O: 0.000 0.000 0.000
O: 0.023 0.220 0.500
O: 0.220 0.720 0.197
O: 0.280 0.477 0.500
O: 0.477 0.977 0.197
O: 0.500 0.500 0.000
O: 0.523 0.023 0.803
O: 0.720 0.523 0.500
O: 0.780 0.280 0.803
O: 0.977 0.780 0.500

Results
**Spin magnetization**: 0.000 μB/f.u.
**ρ**: 8.1 Mg/m³
**ΔE_f (raw)**: -1.3048 eV per atom
**D(E_F)**: 0.4946 states/eV/atom
**Uncorrected energy**: -89.3 eV for the cell shown